# 1
# Mg2NbZn2

Crystalline Mg2NbZn2 at its relaxed geometry (PBE, the Alexandria database).

Energy ... -3.01 eV per atom

The structure in POSCAR format:
```
Mg2NbZn2
1.0
7.780 0.000 0.000
0.000 7.780 0.000
0.000 0.000 2.848
Mg Nb Zn
4 2 4
direct
0.129 0.371 0.000
0.371 0.871 0.000
0.629 0.129 0.000
0.871 0.629 0.000
0.000 0.000 0.000
0.500 0.500 0.000
0.171 0.671 0.500
0.329 0.171 0.500
0.671 0.829 0.500
0.829 0.329 0.500
```

=====

# 2
# Mg3NbZn

Crystalline Mg3NbZn at its relaxed geometry (PBE, the Alexandria database).

Energy ... -2.48 eV per atom

The structure in POSCAR format:
```
Mg3NbZn
1.0
4.796 0.000 0.000
0.000 4.796 0.000
0.000 0.000 4.796
Mg Nb Zn
3 1 1
direct
0.000 0.000 0.500
0.000 0.500 0.000
0.500 0.000 0.000
0.500 0.500 0.500
0.000 0.000 0.000
```

=====

# 3
# Mg14NbZn

Crystalline Mg14NbZn at its relaxed geometry (PBE, the Alexandria database).

Energy ... -2.05 eV per atom

The structure in POSCAR format:
```
Mg14NbZn
1.0
6.274 0.000 0.000
-3.137 5.433 0.000
0.000 0.000 10.075
Mg Nb Zn
14 1 1
direct
0.000 0.000 0.246
0.000 0.000 0.754
0.014 0.507 0.248
0.014 0.507 0.752
0.332 0.166 0.500
0.338 0.169 0.000
0.493 0.507 0.248
0.493 0.507 0.752
0.493 0.986 0.248
0.493 0.986 0.752
0.831 0.169 0.000
0.831 0.662 0.000
0.834 0.166 0.500
0.834 0.668 0.500
0.333 0.667 0.000
0.333 0.667 0.500
```

=====

# 4
# MgNb3Zn

Crystalline MgNb3Zn at its relaxed geometry (PBE, the Alexandria database).

Energy ... -4.95 eV per atom

The structure in POSCAR format:
```
MgNb3Zn
1.0
4.739 0.000 0.000
0.000 4.739 0.000
0.000 0.000 4.739
Mg Nb Zn
1 3 1
direct
0.000 0.000 0.000
0.000 0.000 0.500
0.000 0.500 0.000
0.500 0.000 0.000
0.500 0.500 0.500
```

=====

What are the calculated volume values for these records? In order: 86.2 110.3 343.4 106.4 Å³/f.u..
What are the spin magnetization values for these records? In order: 0.4 1.1 0.0 0.0 μB per formula unit.
What are the Fermi-level density of states values for these records? In order: 3.2 3.1 7.1 6.6 states/eV/f.u..